# 1
## La2GaPdS (GGA-PBE)

Data for a relaxed structure of La2GaPdS.

```
La2GaPdS
1.0
6.023 0.000 0.000
0.000 4.595 0.000
0.000 0.000 6.023
La S Pd Ga
2 1 1 1
direct
0.500 0.000 0.000
0.000 0.000 0.500
0.000 0.500 0.000
0.000 0.000 0.000
0.500 0.500 0.500
```

Formation energy (no corrections): -0.300 eV per atom
Density of states at the Fermi level: 1.88 states/eV/atom
Calculated volume: 33.343 Å³/atom

---

# 2
## La3GaSb2Pd9 (GGA-PBE)

Data for a relaxed structure of La3GaSb2Pd9.

```
La3GaSb2Pd9
1.0
6.892 0.000 0.000
-3.446 5.969 0.000
0.000 0.000 8.751
Pd Sb Ga La
9 2 1 3
direct
0.500 0.500 0.000
0.735 0.868 0.282
0.500 0.000 0.000
0.132 0.868 0.282
0.000 0.500 0.000
0.265 0.132 0.718
0.868 0.132 0.718
0.132 0.265 0.282
0.868 0.735 0.718
0.667 0.333 0.797
0.333 0.667 0.203
0.000 0.000 0.500
0.000 0.000 0.000
0.333 0.667 0.724
0.667 0.333 0.276
```

Formation energy (no corrections): -0.566 eV per atom
Density of states at the Fermi level: 0.52 states/eV/atom
Calculated volume: 24.003 Å³/atom

---

# 3
## La2GaSb3Pd4 (GGA-PBE)

Data for a relaxed structure of La2GaSb3Pd4.

```
La2GaSb3Pd4
1.0
-3.096 2.913 -1.604
-2.116 -0.035 4.020
6.091 8.278 3.279
La Sb Pd Ga
2 3 4 1
direct
0.000 0.500 0.752
0.500 0.000 0.248
0.000 0.500 0.135
0.500 0.000 0.865
0.000 0.000 0.500
0.000 0.500 0.377
0.500 0.000 0.623
0.000 0.000 0.000
0.500 0.500 0.000
0.500 0.500 0.500
```

Formation energy (no corrections): -0.908 eV per atom
Density of states at the Fermi level: 0.46 states/eV/atom
Calculated volume: 22.269 Å³/atom

---

# 4
## La2GaSbPd6 (GGA-PBE)

Data for a relaxed structure of La2GaSbPd6.

```
La2GaSbPd6
1.0
6.521 -0.698 -1.148
-0.771 6.564 1.231
2.012 3.771 5.179
Pd La Sb Ga
6 2 1 1
direct
0.306 0.296 0.489
0.079 0.258 0.177
0.307 0.795 0.990
0.694 0.704 0.511
0.693 0.205 0.010
0.921 0.742 0.823
0.257 0.751 0.494
0.743 0.249 0.506
0.000 0.000 0.000
0.500 0.500 0.000
```

Formation energy (no corrections): -0.733 eV per atom
Density of states at the Fermi level: 0.39 states/eV/atom
Calculated volume: 20.538 Å³/atom

---

# 5
## La2GaSb4Pd3 (GGA-PBE)

Data for a relaxed structure of La2GaSb4Pd3.

```
La2GaSb4Pd3
1.0
-4.212 1.129 1.982
-0.232 -4.353 1.985
4.943 3.594 8.459
Pd Sb La Ga
3 4 2 1
direct
0.500 0.000 0.880
0.000 0.500 0.120
0.000 0.000 0.500
0.500 0.000 0.631
0.500 0.500 0.000
0.000 0.000 0.000
0.000 0.500 0.369
0.500 0.000 0.252
0.000 0.500 0.748
0.500 0.500 0.500
```

Formation energy (no corrections): -0.747 eV per atom
Density of states at the Fermi level: 0.56 states/eV/atom
Calculated volume: 23.939 Å³/atom

---

# 6
## La2ScGa3Pd4 (GGA-PBE)

Data for a relaxed structure of La2ScGa3Pd4.

```
La2ScGa3Pd4
1.0
-3.579 -1.231 2.002
1.450 -4.027 0.117
4.842 2.030 9.905
Pd Sc La Ga
4 1 2 3
direct
0.000 0.000 0.000
0.000 0.500 0.352
0.500 0.500 0.000
0.500 0.000 0.648
0.500 0.500 0.500
0.500 0.000 0.237
0.000 0.500 0.763
0.500 0.000 0.877
0.000 0.500 0.123
0.000 0.000 0.500
```

DFT formation energy: -80.3 kJ per mole of atoms
Density of states at the Fermi level: 0.80 states/eV/atom
Calculated volume: 20.553 Å³/atom